# 1
YIn2Ag after structural relaxation. Source: the Alexandria database, functional PBE.

Results
SG: Pmm2
formation enthalpy at 0 K: -0.26 eV/atom
total DFT energy (no corrections): -3.96 eV/atom
density of states at the Fermi level: 2.46 states/eV/f.u.

Unit cell a=4.9262 b=3.3650 c=5.9584 alpha=89.98 beta=90.00 gamma=90.00
Sites, in units of the cell vectors:
Ag (0.5000, 0.9994, 0.7422)
In (0.5000, 0.0001, 0.2656)
In (0.0000, 0.0005, 0.9882)
Y (0.0000, 0.5000, 0.5039)



# 2
AgPd5Pt4 after structural relaxation. Source: the Alexandria database, functional PBE.

Results
SG: P4/mmm
formation enthalpy at 0 K: -0.03 eV/atom
total DFT energy (no corrections): -5.33 eV/atom
density of states at the Fermi level: 20.99 states/eV/f.u.

Unit cell a=2.7970 b=2.7970 c=19.9972 alpha=90.00 beta=90.00 gamma=90.00
Sites, in units of the cell vectors:
Pt (0.0000, 0.0000, 0.4011)
Pd (0.5000, 0.5000, 0.6974)
Ag (0.0000, 0.0000, 0.0000)
Pd (0.5000, 0.5000, 0.3026)
Pd (0.5000, 0.5000, 0.8952)
Pd (0.5000, 0.5000, 0.5000)
Pt (0.0000, 0.0000, 0.2040)
Pt (0.0000, 0.0000, 0.5989)
Pd (0.5000, 0.5000, 0.1048)
Pt (0.0000, 0.0000, 0.7960)



# 3
KCa12Si4S2O26F after structural relaxation. Source: the Alexandria database, functional PBE.

Results
SG: R-3m
total DFT energy (no corrections): -6.87 eV/atom
density of states at the Fermi level: 0.00 states/eV/f.u.
ΔE_f (raw): -2.835 eV/atom

Unit cell a=7.2416 b=7.2416 c=14.5086 alpha=75.55 beta=75.55 gamma=60.00
Sites, in units of the cell vectors:
K (0.0000, 0.0000, 0.0000)
O (0.1993, 0.5342, 0.0672)
O (0.1994, 0.8198, 0.7813)
O (0.7556, 0.7556, 0.7331)
O (0.8007, 0.4658, 0.9328)
O (0.4658, 0.8007, 0.9328)
O (0.1994, 0.1994, 0.7813)
O (0.6822, 0.0594, 0.5762)
O (0.2444, 0.2444, 0.2669)
O (0.5683, 0.5683, 0.2950)
O (0.8769, 0.8769, 0.3692)
Ca (0.6884, 0.6884, 0.3987)
F (0.5000, 0.5000, 0.5000)
Si (0.9171, 0.9171, 0.2487)
Ca (0.3116, 0.3116, 0.6013)
O (0.8198, 0.1994, 0.7813)
O (0.3594, 0.3594, 0.9218)
O (0.1231, 0.1231, 0.6308)
O (0.8006, 0.8006, 0.2187)
Si (0.2041, 0.2041, 0.3876)
Ca (0.7754, 0.3116, 0.6013)
S (0.3233, 0.3233, 0.0302)
Ca (0.0832, 0.5559, 0.8050)
Ca (0.3116, 0.7754, 0.6013)
O (0.6406, 0.6406, 0.0782)
Ca (0.5559, 0.0832, 0.8050)
O (0.0594, 0.6822, 0.5762)
O (0.6822, 0.6822, 0.5762)
O (0.4317, 0.4317, 0.7050)
O (0.8006, 0.1802, 0.2187)
Ca (0.2246, 0.6884, 0.3987)
O (0.8007, 0.8007, 0.9328)
Ca (0.9168, 0.4441, 0.1950)
O (0.3178, 0.3178, 0.4238)
S (0.6767, 0.6767, 0.9698)
O (0.1993, 0.1993, 0.0672)
Si (0.7959, 0.7959, 0.6124)
Si (0.0829, 0.0829, 0.7513)
Ca (0.4441, 0.9168, 0.1950)
Ca (0.4441, 0.4441, 0.1950)
O (0.1802, 0.8006, 0.2187)
O (0.3178, 0.9406, 0.4238)
O (0.9406, 0.3178, 0.4238)
Ca (0.5559, 0.5559, 0.8050)
Ca (0.6884, 0.2246, 0.3987)
O (0.5342, 0.1993, 0.0672)